First-principles (PBE-GGA) data for a relaxed structure of CaNd7Sm2, as listed in the Alexandria database.

Cell and atoms, written as extended XYZ:
```
10
Lattice="-4.934 2.991 0.266 -0.538 -0.061 -9.276 -3.806 -6.736 5.145" Properties=species:S:1:pos:R:3 pbc="T T T"
Nd -6.406 -4.852 -1.544
Nd -4.639 -1.903 -1.932
Sm -3.974 -0.544 -4.867
Nd -5.635 -3.277 -4.947
Sm -5.304 -3.262 1.003
Nd -2.872 1.046 -2.320
Nd -3.643 -0.529 1.083
Nd -1.321 -1.660 -5.822
Nd -3.023 -5.138 1.692
Ca 0.000 0.000 0.000
```

Summary:
ρ	5.281	Mg/m³
space group	Cmmm (65)
formation energy	0.589	eV/atom
total moment	0.0	μB/cell